Model A:
Entry from OQMD: an optimized crystal structure of LiGdTc (PBE).

Structure (extended XYZ):
```
3
Lattice="0.000 3.215 3.215 3.215 0.000 3.215 3.215 3.215 0.000" Properties=species:S:1:pos:R:3 pbc="T T T"
Li 1.608 1.608 1.608
Gd 0.000 0.000 0.000
Tc 4.823 4.823 4.823
```

* crystal system: cubic
* ρ: 6.55 g/cm³
* calculated volume: 66.5 Å³ per cell


Model B:
Entry from OQMD: an optimized crystal structure of LiGdTc (PBE).

Structure (extended XYZ):
```
3
Lattice="0.000 3.100 3.100 3.100 0.000 3.100 3.100 3.100 0.000" Properties=species:S:1:pos:R:3 pbc="T T T"
Gd 1.550 1.550 1.550
Tc 4.650 4.650 4.650
Li 0.000 0.000 0.000
```

* crystal system: cubic
* ρ: 7.31 g/cm³
* calculated volume: 59.6 Å³ per cell


Computed relative energies in units of kJ/mol of atoms: model A 34.1; model B 0.0


Model A:
Entry from OQMD: an optimized crystal structure of LiGdZnTe3 (PBE).

Structure (extended XYZ):
```
24
Lattice="4.298 0.000 0.000 0.000 12.640 0.000 0.000 0.000 12.945" Properties=species:S:1:pos:R:3 pbc="T T T"
Gd 2.149 2.251 5.874
Gd 0.000 8.571 0.598
Gd 0.000 10.390 7.071
Gd 2.149 4.070 12.347
Te 2.149 11.714 5.301
Te 0.000 0.926 7.644
Te 0.000 10.626 10.179
Te 2.149 7.246 11.774
Te 2.149 10.874 0.875
Te 2.149 8.087 7.348
Te 0.000 8.334 3.707
Te 2.149 4.306 9.239
Te 2.149 2.014 2.766
Te 0.000 1.766 12.070
Te 0.000 4.554 5.598
Te 0.000 5.394 1.171
Zn 0.000 2.693 9.555
Zn 0.000 3.627 3.083
Zn 2.149 9.013 9.863
Zn 2.149 9.947 3.390
Li 0.000 6.204 8.036
Li 2.149 6.436 4.909
Li 2.149 12.524 11.382
Li 0.000 0.116 1.563
```

* crystal system: orthorhombic
* ρ: 5.78 g/cm³
* calculated volume: 703.2 Å³ per cell


Model B:
Entry from OQMD: an optimized crystal structure of LiGdZnTe3 (PBE).

Structure (extended XYZ):
```
12
Lattice="7.180 -2.117 0.000 7.180 2.117 0.000 0.000 0.000 11.522" Properties=species:S:1:pos:R:3 pbc="T T T"
Te 9.259 0.000 10.665
Te 5.102 0.000 0.858
Te 1.347 0.000 2.881
Te 13.013 0.000 8.642
Te 9.259 0.000 6.619
Te 5.102 0.000 4.904
Li 11.434 0.000 2.881
Li 2.926 0.000 8.642
Gd 0.000 0.000 0.000
Gd 0.000 0.000 5.761
Zn 7.505 0.000 8.642
Zn 6.855 0.000 2.881
```

* crystal system: orthorhombic
* ρ: 5.81 g/cm³
* calculated volume: 350.3 Å³ per cell


Computed relative energies in units of kJ/mol of atoms: model A 2.7; model B 0.0


Model A:
Entry from OQMD: an optimized crystal structure of GdLuNO (PBE).

Structure (extended XYZ):
```
16
Lattice="-3.994 -1.821 4.836 -4.920 -3.370 -5.332 2.453 -4.253 0.425" Properties=species:S:1:pos:R:3 pbc="T T T"
Gd -0.838 -0.801 -0.281
Gd -0.963 -3.544 1.568
Gd -6.600 -6.948 0.041
Gd -6.475 -4.205 -1.808
O -2.096 -4.605 -2.599
O -5.350 -3.131 2.358
O -4.536 -3.031 -1.342
O -2.910 -4.705 1.101
Lu -4.032 -2.540 0.759
Lu -3.406 -5.210 -0.999
Lu -4.227 -5.315 2.693
Lu -3.210 -2.435 -2.933
N -7.888 -4.850 -0.062
N -5.155 -6.290 -1.673
N 0.453 -2.906 -0.178
N -2.279 -1.466 1.434
```

* crystal system: orthorhombic
* ρ: 9.34 g/cm³
* calculated volume: 257.5 Å³ per cell


Model B:
Entry from OQMD: an optimized crystal structure of GdLuNO (PBE).

Structure (extended XYZ):
```
8
Lattice="-0.375 -2.900 -3.836 -2.126 -3.351 2.741 -4.266 1.883 -1.006" Properties=species:S:1:pos:R:3 pbc="T T T"
N -2.754 -0.623 -0.776
N -4.013 -3.745 -1.325
Gd -3.821 -2.297 0.594
Gd -2.946 -2.071 -2.695
Lu -0.628 -1.561 -0.274
Lu -6.139 -2.806 -1.827
O -0.813 -3.013 -2.192
O -1.688 -3.238 1.097
```

* crystal system: tetragonal
* ρ: 10.84 g/cm³
* calculated volume: 111.0 Å³ per cell


Model C:
Entry from OQMD: an optimized crystal structure of GdLuNO (PBE).

Structure (extended XYZ):
```
8
Lattice="-4.180 0.980 -0.485 0.002 -1.908 -3.877 -2.076 -7.120 3.503" Properties=species:S:1:pos:R:3 pbc="T T T"
N -4.033 -3.782 -1.753
N -2.220 -4.266 0.894
Lu -2.081 -4.746 -1.277
Lu -4.173 -3.302 0.419
O -3.135 0.258 -1.333
O -1.044 -1.186 -3.029
Gd -1.260 -0.970 -0.727
Gd -4.994 -7.078 -0.131
```

* crystal system: tetragonal
* ρ: 7.85 g/cm³
* calculated volume: 153.1 Å³ per cell


Model D:
Entry from OQMD: an optimized crystal structure of GdLuNO (PBE).

Structure (extended XYZ):
```
8
Lattice="1.233 3.710 0.467 0.611 -0.794 4.697 6.428 -1.989 -1.172" Properties=species:S:1:pos:R:3 pbc="T T T"
Lu 4.855 -2.070 3.628
Lu 2.413 -1.012 1.669
O 6.389 -0.498 3.694
O 2.113 1.127 2.069
N 2.784 -1.429 4.004
N 4.484 -1.652 1.290
Gd 6.259 -0.156 1.314
Gd 2.243 0.784 4.450
```

* crystal system: orthorhombic
* ρ: 9.32 g/cm³
* calculated volume: 129.1 Å³ per cell


Computed relative energies in units of kJ/mol of atoms: model A 9.8; model B 0.0; model C 37.9; model D 2.7


Model A:
Entry from OQMD: an optimized crystal structure of GdLuNO (PBE).

Structure (extended XYZ):
```
16
Lattice="-4.437 1.819 -4.506 -3.676 -7.038 0.778 -2.804 1.853 3.510" Properties=species:S:1:pos:R:3 pbc="T T T"
O -4.333 -3.693 -1.173
O -5.465 -0.412 -0.445
O -5.491 -0.753 -3.651
O -4.307 -3.352 2.032
N -2.317 0.333 1.678
N -7.347 -4.141 0.021
N -7.482 -4.437 -3.295
N -2.452 0.037 -1.637
Lu -0.975 -0.616 -0.114
Lu -5.965 -5.013 -1.780
Lu -8.823 -3.489 -1.504
Lu -3.833 0.908 0.162
Gd -5.758 -2.588 0.472
Gd -7.061 0.074 -1.974
Gd -4.042 -1.515 -2.088
Gd -2.739 -4.177 0.359
```

* crystal system: orthorhombic
* ρ: 9.43 g/cm³
* calculated volume: 255.1 Å³ per cell


Model B:
Entry from OQMD: an optimized crystal structure of GdLuNO (PBE).

Structure (extended XYZ):
```
8
Lattice="-1.983 -3.435 0.000 0.000 0.000 4.837 -5.890 3.401 0.000" Properties=species:S:1:pos:R:3 pbc="T T T"
N -4.025 2.324 2.122
N -1.865 1.077 4.541
Lu -2.018 -1.125 4.540
Lu -5.856 1.091 2.122
O -1.866 -1.213 2.119
O -6.008 1.179 4.538
Gd -2.003 1.156 2.121
Gd -3.887 2.244 4.540
```

* crystal system: orthorhombic
* ρ: 9.22 g/cm³
* calculated volume: 130.5 Å³ per cell


Computed relative energies in units of kJ/mol of atoms: model A 0.0; model B 2.5